Model one:
# ScBe2Pt2 (GGA-PBEsol, optimized geometry)
# Calculated volume: 12.93 Å³ per atom
# DOS(E_F): 0.454 states/eV/atom
data_ScBe2Pt2
_chemical_formula_sum 'Sc2 Be4 Pt4'
_cell_length_a 6.882
_cell_length_b 6.882
_cell_length_c 2.730
_cell_angle_alpha 90.00
_cell_angle_beta 90.00
_cell_angle_gamma 90.00
_symmetry_space_group_name_H-M 'P 4/m b m'
_symmetry_Int_Tables_number 127
_symmetry_space_group_name_Hall '-P 4 2ab'
loop_
_atom_site_label
_atom_site_type_symbol
_atom_site_fract_x
_atom_site_fract_y
_atom_site_fract_z
Sc1 Sc 0.000 0.000 0.000
Be1 Be 0.115 0.385 0.000
Pt1 Pt 0.177 0.677 0.500

=====

Model two:
# ScBe2Pt2 (GGA-PBEsol, optimized geometry)
# Calculated volume: 13.93 Å³ per atom
# DOS(E_F): 0.378 states/eV/atom
data_ScBe2Pt2
_chemical_formula_sum 'Sc2 Be4 Pt4'
_cell_length_a 3.403
_cell_length_b 3.403
_cell_length_c 12.030
_cell_angle_alpha 90.00
_cell_angle_beta 90.00
_cell_angle_gamma 90.00
_symmetry_space_group_name_H-M 'I 4/m m m'
_symmetry_Int_Tables_number 139
_symmetry_space_group_name_Hall '-I 4 2'
loop_
_atom_site_label
_atom_site_type_symbol
_atom_site_fract_x
_atom_site_fract_y
_atom_site_fract_z
Sc1 Sc 0.000 0.000 0.000
Be1 Be 0.000 0.500 0.250
Pt1 Pt 0.000 0.000 0.383

=====

Q: What are the energies relative to the best structure? A: model one 0.000; model two 0.052, in eV/atom.

=====

Model one:
# ScBePt (GGA-PBEsol, optimized geometry)
# Calculated volume: 15.37 Å³ per atom
# DOS(E_F): 0.578 states/eV/atom
data_ScBePt
_chemical_formula_sum 'Sc1 Be1 Pt1'
_cell_length_a 3.9575
_cell_length_b 3.9575
_cell_length_c 3.3991
_cell_angle_alpha 90.00
_cell_angle_beta 90.00
_cell_angle_gamma 120.00
_symmetry_space_group_name_H-M 'P -6 m 2'
_symmetry_Int_Tables_number 187
_symmetry_space_group_name_Hall 'P -6 2'
loop_
_atom_site_label
_atom_site_type_symbol
_atom_site_fract_x
_atom_site_fract_y
_atom_site_fract_z
Sc1 Sc 0.0000 0.0000 0.0000
Be1 Be 0.3333 0.6667 0.5000
Pt1 Pt 0.6667 0.3333 0.5000

=====

Model two:
# ScBePt (GGA-PBEsol, optimized geometry)
# Calculated volume: 17.90 Å³ per atom
# DOS(E_F): 0.858 states/eV/atom
data_ScBePt
_chemical_formula_sum 'Sc4 Be4 Pt4'
_cell_length_a 5.989
_cell_length_b 5.989
_cell_length_c 5.989
_cell_angle_alpha 90.00
_cell_angle_beta 90.00
_cell_angle_gamma 90.00
_symmetry_space_group_name_H-M 'F -4 3 m'
_symmetry_Int_Tables_number 216
_symmetry_space_group_name_Hall 'F -4 2 3'
loop_
_atom_site_label
_atom_site_type_symbol
_atom_site_fract_x
_atom_site_fract_y
_atom_site_fract_z
Sc1 Sc 0.000 0.000 0.000
Be1 Be 0.250 0.250 0.250
Pt1 Pt 0.250 0.250 0.750

=====

Q: What are the energies relative to the best structure? A: model one 0.000; model two 0.868, in eV/atom.

=====

Model one:
# BeSi2Pt2 (GGA-PBEsol, optimized geometry)
# Calculated volume: 14.15 Å³ per atom
# DOS(E_F): 0.199 states/eV/atom
data_BeSi2Pt2
_chemical_formula_sum 'Be2 Si4 Pt4'
_cell_length_a 6.011
_cell_length_b 6.011
_cell_length_c 3.917
_cell_angle_alpha 90.00
_cell_angle_beta 90.00
_cell_angle_gamma 90.00
_symmetry_space_group_name_H-M 'P 4/m b m'
_symmetry_Int_Tables_number 127
_symmetry_space_group_name_Hall '-P 4 2ab'
loop_
_atom_site_label
_atom_site_type_symbol
_atom_site_fract_x
_atom_site_fract_y
_atom_site_fract_z
Be1 Be 0.000 0.000 0.000
Si1 Si 0.130 0.370 0.000
Pt1 Pt 0.226 0.726 0.500

=====

Model two:
# BeSi2Pt2 (GGA-PBEsol, optimized geometry)
# Calculated volume: 14.17 Å³ per atom
# DOS(E_F): 0.471 states/eV/atom
data_BeSi2Pt2
_chemical_formula_sum 'Be2 Si4 Pt4'
_cell_length_a 6.351
_cell_length_b 6.351
_cell_length_c 3.513
_cell_angle_alpha 90.00
_cell_angle_beta 90.00
_cell_angle_gamma 90.00
_symmetry_space_group_name_H-M 'P 4/m b m'
_symmetry_Int_Tables_number 127
_symmetry_space_group_name_Hall '-P 4 2ab'
loop_
_atom_site_label
_atom_site_type_symbol
_atom_site_fract_x
_atom_site_fract_y
_atom_site_fract_z
Be1 Be 0.000 0.000 0.000
Si1 Si 0.148 0.352 0.500
Pt1 Pt 0.162 0.662 0.000

=====

Q: What are the energies relative to the best structure? A: model one 0.133; model two 0.000, in eV/atom.

=====

Model one:
# BeTePt2 (GGA-PBEsol, optimized geometry)
# Calculated volume: 16.32 Å³ per atom
# DOS(E_F): 0.406 states/eV/atom
data_BeTePt2
_chemical_formula_sum 'Be3 Te3 Pt6'
_cell_length_a 3.6654
_cell_length_b 3.6654
_cell_length_c 16.8350
_cell_angle_alpha 90.00
_cell_angle_beta 90.00
_cell_angle_gamma 120.00
_symmetry_space_group_name_H-M 'R -3 m'
_symmetry_Int_Tables_number 166
_symmetry_space_group_name_Hall '-R 3 2"'
loop_
_atom_site_label
_atom_site_type_symbol
_atom_site_fract_x
_atom_site_fract_y
_atom_site_fract_z
Be1 Be 0.0000 0.0000 0.0000
Te1 Te 0.0000 0.0000 0.5000
Pt1 Pt 0.0000 0.0000 0.2782

=====

Model two:
# BeTePt2 (GGA-PBEsol, optimized geometry)
# Calculated volume: 16.05 Å³ per atom
# DOS(E_F): 0.714 states/eV/atom
data_BeTePt2
_chemical_formula_sum 'Be4 Te4 Pt8'
_cell_length_a 6.357
_cell_length_b 6.357
_cell_length_c 6.357
_cell_angle_alpha 90.00
_cell_angle_beta 90.00
_cell_angle_gamma 90.00
_symmetry_space_group_name_H-M 'F -4 3 m'
_symmetry_Int_Tables_number 216
_symmetry_space_group_name_Hall 'F -4 2 3'
loop_
_atom_site_label
_atom_site_type_symbol
_atom_site_fract_x
_atom_site_fract_y
_atom_site_fract_z
Be1 Be 0.000 0.000 0.000
Te1 Te 0.250 0.250 0.750
Pt1 Pt 0.000 0.000 0.500
Pt2 Pt 0.250 0.250 0.250

=====

Q: What are the energies relative to the best structure? A: model one 0.000; model two 0.564, in eV/atom.

=====

Model one:
# Be2TlPt (GGA-PBEsol, optimized geometry)
# Calculated volume: 16.59 Å³ per atom
# DOS(E_F): 0.345 states/eV/atom
data_Be2TlPt
_chemical_formula_sum 'Be4 Tl2 Pt2'
_cell_length_a 6.832
_cell_length_b 3.945
_cell_length_c 5.330
_cell_angle_alpha 90.00
_cell_angle_beta 112.46
_cell_angle_gamma 90.00
_symmetry_space_group_name_H-M 'C 1 2/m 1'
_symmetry_Int_Tables_number 12
loop_
_symmetry_equiv_pos_as_xyz
'x,y,z'
'-x,-y,-z'
'-x,y,-z'
'x,-y,z'
'x+1/2,y+1/2,z'
'-x+1/2,-y+1/2,-z'
'-x+1/2,y+1/2,-z'
'x+1/2,-y+1/2,z'
loop_
_atom_site_label
_atom_site_type_symbol
_atom_site_fract_x
_atom_site_fract_y
_atom_site_fract_z
Be1 Be 0.176 0.000 0.032
Tl1 Tl 0.000 0.000 0.500
Pt1 Pt 0.000 0.500 0.000

=====

Model two:
# Be2TlPt (GGA-PBEsol, optimized geometry)
# Calculated volume: 14.39 Å³ per atom
# DOS(E_F): 0.220 states/eV/atom
data_Be2TlPt
_chemical_formula_sum 'Be8 Tl4 Pt4'
_cell_length_a 6.130
_cell_length_b 6.130
_cell_length_c 6.130
_cell_angle_alpha 90.00
_cell_angle_beta 90.00
_cell_angle_gamma 90.00
_symmetry_space_group_name_H-M 'F -4 3 m'
_symmetry_Int_Tables_number 216
_symmetry_space_group_name_Hall 'F -4 2 3'
loop_
_atom_site_label
_atom_site_type_symbol
_atom_site_fract_x
_atom_site_fract_y
_atom_site_fract_z
Be1 Be 0.000 0.000 0.000
Be2 Be 0.250 0.250 0.250
Tl1 Tl 0.250 0.250 0.750
Pt1 Pt 0.000 0.000 0.500

=====

Model three:
# Be2TlPt (GGA-PBEsol, optimized geometry)
# Calculated volume: 13.45 Å³ per atom
# DOS(E_F): 0.264 states/eV/atom
data_Be2TlPt
_chemical_formula_sum 'Be4 Tl2 Pt2'
_cell_length_a 4.278
_cell_length_b 4.278
_cell_length_c 5.880
_cell_angle_alpha 90.00
_cell_angle_beta 90.00
_cell_angle_gamma 90.00
_symmetry_space_group_name_H-M 'I 4/m m m'
_symmetry_Int_Tables_number 139
_symmetry_space_group_name_Hall '-I 4 2'
loop_
_atom_site_label
_atom_site_type_symbol
_atom_site_fract_x
_atom_site_fract_y
_atom_site_fract_z
Be1 Be 0.000 0.500 0.250
Tl1 Tl 0.000 0.000 0.000
Pt1 Pt 0.000 0.000 0.500

=====

Q: What are the energies relative to the best structure? A: model one 0.000; model two 0.410; model three 0.184, in eV/atom.

=====

Model one:
# Be4Re3 (GGA-PBEsol, optimized geometry)
# Calculated volume: 12.91 Å³ per atom
# DOS(E_F): 0.573 states/eV/atom
data_Be4Re3
_chemical_formula_sum 'Be4 Re3'
_cell_length_a 4.9953
_cell_length_b 4.9953
_cell_length_c 4.1825
_cell_angle_alpha 90.00
_cell_angle_beta 90.00
_cell_angle_gamma 120.00
_symmetry_space_group_name_H-M 'P 6/m m m'
_symmetry_Int_Tables_number 191
_symmetry_space_group_name_Hall '-P 6 2'
loop_
_atom_site_label
_atom_site_type_symbol
_atom_site_fract_x
_atom_site_fract_y
_atom_site_fract_z
Be1 Be 0.0000 0.0000 0.2279
Be2 Be 0.3333 0.6667 0.5000
Re1 Re 0.0000 0.5000 0.0000

=====

Model two:
# Be4Re3 (GGA-PBEsol, optimized geometry)
# Calculated volume: 10.96 Å³ per atom
# DOS(E_F): 0.530 states/eV/atom
data_Be4Re3
_chemical_formula_sum 'Be8 Re6'
_cell_length_a 2.750
_cell_length_b 2.750
_cell_length_c 20.288
_cell_angle_alpha 90.00
_cell_angle_beta 90.00
_cell_angle_gamma 90.00
_symmetry_space_group_name_H-M 'I 4/m m m'
_symmetry_Int_Tables_number 139
_symmetry_space_group_name_Hall '-I 4 2'
loop_
_atom_site_label
_atom_site_type_symbol
_atom_site_fract_x
_atom_site_fract_y
_atom_site_fract_z
Be1 Be 0.000 0.000 0.077
Be2 Be 0.000 0.000 0.368
Re1 Re 0.000 0.000 0.206
Re2 Re 0.000 0.000 0.500

=====

Q: What are the energies relative to the best structure? A: model one 0.446; model two 0.000, in eV/atom.